# 1
Here is an optimized crystal structure of LaPm2ErTl2 from Alexandria. Energies are from GGA-PBE. Values from VASP.

Calculated values
Electronic total energy in Ha/atom: -0.1552
Density of states at the Fermi level in states/eV/atom: 1.170
Space-group type: No. 26

The structure in Quantum ESPRESSO input format:
```
&SYSTEM
  ibrav = 0, nat = 12, ntyp = 4
/
ATOMIC_SPECIES
Pm 145.00 Pm.upf
La 138.91 La.upf
Tl 204.38 Tl.upf
Er 167.26 Er.upf
ATOMIC_POSITIONS crystal
Pm 0.500 0.554 0.953
Pm 0.000 0.834 0.819
Pm 0.000 0.334 0.181
Pm 0.500 0.054 0.047
La 0.000 0.458 0.544
La 0.000 0.958 0.456
Tl 0.000 0.297 0.860
Tl 0.500 0.725 0.631
Tl 0.000 0.797 0.140
Tl 0.500 0.225 0.369
Er 0.500 0.177 0.693
Er 0.500 0.677 0.307
CELL_PARAMETERS angstrom
-2.911 2.865 3.272
-5.700 -3.308 -2.174
1.297 -7.050 7.325
```

***

# 2
Here is an optimized crystal structure of Tb9NdSm2 from Alexandria. Energies are from GGA-PBE. Values from VASP.

Calculated values
Density of states at the Fermi level in states/eV/atom: 1.549
Polymorph energy (0 for the lowest one) in eV per formula unit: 0.00
Space-group type: No. 123

The structure in Quantum ESPRESSO input format:
```
&SYSTEM
  ibrav = 0, nat = 12, ntyp = 3
/
ATOMIC_SPECIES
Nd 144.24 Nd.upf
Tb 158.93 Tb.upf
Sm 150.36 Sm.upf
ATOMIC_POSITIONS crystal
Nd 0.000 0.000 0.000
Tb 0.000 0.500 0.500
Tb 0.000 0.500 0.833
Tb 0.500 0.500 0.000
Tb 0.500 0.500 0.334
Tb 0.500 0.000 0.833
Tb 0.000 0.500 0.167
Tb 0.500 0.500 0.666
Tb 0.500 0.000 0.167
Tb 0.500 0.000 0.500
Sm 0.000 0.000 0.666
Sm 0.000 0.000 0.334
CELL_PARAMETERS angstrom
5.065 0.000 0.000
0.000 5.065 0.000
0.000 0.000 15.191
```

***

# 3
Here is an optimized crystal structure of Pa2GaSiNi6 from Alexandria. Energies are from GGA-PBE. Values from VASP.

Calculated values
Electronic total energy in Ha/atom: -0.2372
Density of states at the Fermi level in states/eV/atom: 1.009
Space-group type: No. 166

The structure in Quantum ESPRESSO input format:
```
&SYSTEM
  ibrav = 0, nat = 20, ntyp = 4
/
ATOMIC_SPECIES
Ni 58.69 Ni.upf
Si 28.09 Si.upf
Ga 69.72 Ga.upf
Pa 231.04 Pa.upf
ATOMIC_POSITIONS crystal
Ni 0.201 0.810 0.179
Ni 0.352 0.941 0.355
Ni 0.352 0.352 0.355
Ni 0.190 0.190 0.821
Ni 0.648 0.059 0.645
Ni 0.190 0.799 0.821
Ni 0.059 0.648 0.645
Ni 0.810 0.810 0.179
Ni 0.810 0.201 0.179
Ni 0.941 0.352 0.355
Ni 0.799 0.190 0.821
Ni 0.648 0.648 0.645
Si 0.000 0.000 0.000
Si 0.500 0.500 0.500
Ga 0.591 0.591 0.226
Ga 0.409 0.409 0.774
Pa 0.136 0.136 0.592
Pa 0.864 0.864 0.408
Pa 0.704 0.704 0.888
Pa 0.296 0.296 0.112
CELL_PARAMETERS angstrom
6.069 0.000 0.000
3.035 5.256 0.000
3.035 1.752 9.873
```

***

# 4
Here is an optimized crystal structure of CdInAu6 from Alexandria. Energies are from GGA-PBE. Values from VASP.

Calculated values
Density of states at the Fermi level in states/eV/atom: 0.194
Polymorph energy (0 for the lowest one) in eV per formula unit: 0.00
Space-group type: No. 38

The structure in Quantum ESPRESSO input format:
```
&SYSTEM
  ibrav = 0, nat = 8, ntyp = 3
/
ATOMIC_SPECIES
Au 196.97 Au.upf
In 114.82 In.upf
Cd 112.41 Cd.upf
ATOMIC_POSITIONS crystal
Au 0.000 0.086 0.412
Au 0.000 0.587 0.413
Au 0.000 0.588 0.914
Au 0.500 0.415 0.089
Au 0.500 0.912 0.088
Au 0.500 0.911 0.585
In 0.000 0.088 0.912
Cd 0.500 0.412 0.588
CELL_PARAMETERS angstrom
4.876 0.000 0.000
0.000 5.259 -2.582
0.000 0.014 5.858
```

***

# 5
Here is an optimized crystal structure of FeHg2Cl from Alexandria. Energies are from GGA-PBE. Values from VASP.

Calculated values
Density of states at the Fermi level in states/eV/atom: 0.550
Polymorph energy (0 for the lowest one) in eV per formula unit: 0.29
Space-group type: No. 44

The structure in Quantum ESPRESSO input format:
```
&SYSTEM
  ibrav = 0, nat = 4, ntyp = 3
/
ATOMIC_SPECIES
Cl 35.45 Cl.upf
Hg 200.59 Hg.upf
Fe 55.84 Fe.upf
ATOMIC_POSITIONS crystal
Cl 0.592 0.592 0.408
Hg 0.914 0.914 0.086
Hg 0.765 0.765 0.735
Fe 0.229 0.229 0.271
CELL_PARAMETERS angstrom
7.188 0.105 -0.188
6.512 3.046 -0.188
1.811 0.417 4.575
```

***

# 6
Here is an optimized crystal structure of Nd5ScAg4 from Alexandria. Energies are from GGA-PBE. Values from VASP.

Calculated values
Electronic total energy in Ha/atom: -0.1597
Density of states at the Fermi level in states/eV/atom: 0.925
Space-group type: No. 123

The structure in Quantum ESPRESSO input format:
```
&SYSTEM
  ibrav = 0, nat = 10, ntyp = 3
/
ATOMIC_SPECIES
Nd 144.24 Nd.upf
Ag 107.87 Ag.upf
Sc 44.96 Sc.upf
ATOMIC_POSITIONS crystal
Nd 0.500 0.500 0.889
Nd 0.500 0.500 0.111
Nd 0.500 0.500 0.305
Nd 0.500 0.500 0.500
Nd 0.500 0.500 0.695
Ag 0.000 0.000 0.596
Ag 0.000 0.000 0.794
Ag 0.000 0.000 0.206
Ag 0.000 0.000 0.404
Sc 0.000 0.000 0.000
CELL_PARAMETERS angstrom
3.721 0.000 0.000
0.000 3.721 0.000
0.000 0.000 19.625
```

***

# 7
Here is an optimized crystal structure of AcH2OsO6 from Alexandria. Energies are from GGA-PBE. Values from VASP.

Calculated values
Electronic total energy in Ha/atom: -0.2493
Density of states at the Fermi level in states/eV/atom: 0.140
Space-group type: No. 1

The structure in Quantum ESPRESSO input format:
```
&SYSTEM
  ibrav = 0, nat = 10, ntyp = 4
/
ATOMIC_SPECIES
O 16.00 O.upf
H 1.01 H.upf
Ac 227.00 Ac.upf
Os 190.23 Os.upf
ATOMIC_POSITIONS crystal
O 0.199 0.213 0.741
O 0.142 0.375 0.146
O 0.830 0.592 0.805
O 0.320 0.014 0.226
O 0.770 0.776 0.241
O 0.598 0.889 0.758
H 0.592 0.440 0.771
H 0.529 0.659 0.176
Ac 0.987 0.502 0.460
Os 0.999 0.016 0.978
CELL_PARAMETERS angstrom
5.615 -0.447 0.345
-3.173 4.644 0.055
-2.326 -0.984 4.840
```

***

# 8
Here is an optimized crystal structure of ScTl3Au from Alexandria. Energies are from GGA-PBE. Values from VASP.

Calculated values
Density of states at the Fermi level in states/eV/atom: 1.079
Polymorph energy (0 for the lowest one) in eV per formula unit: 0.86
Space-group type: No. 221

The structure in Quantum ESPRESSO input format:
```
&SYSTEM
  ibrav = 0, nat = 5, ntyp = 3
/
ATOMIC_SPECIES
Tl 204.38 Tl.upf
Sc 44.96 Sc.upf
Au 196.97 Au.upf
ATOMIC_POSITIONS crystal
Tl 0.000 0.500 0.000
Tl 0.500 0.000 0.000
Tl 0.000 0.000 0.500
Sc 0.000 0.000 0.000
Au 0.500 0.500 0.500
CELL_PARAMETERS angstrom
-3.033 -4.199 2.300
2.288 -3.662 -3.670
4.205 -1.036 3.655
```

***

# 9
Here is an optimized crystal structure of ZrTc2Ru2 from Alexandria. Energies are from GGA-PBE. Values from VASP.

Calculated values
Density of states at the Fermi level in states/eV/atom: 0.704
Polymorph energy (0 for the lowest one) in eV per formula unit: 0.00
Space-group type: No. 127

The structure in Quantum ESPRESSO input format:
```
&SYSTEM
  ibrav = 0, nat = 10, ntyp = 3
/
ATOMIC_SPECIES
Ru 101.07 Ru.upf
Zr 91.22 Zr.upf
Tc 98.00 Tc.upf
ATOMIC_POSITIONS crystal
Ru 0.377 0.877 0.000
Ru 0.877 0.623 0.000
Ru 0.123 0.377 0.000
Ru 0.623 0.123 0.000
Zr 0.500 0.500 0.000
Zr 0.000 0.000 0.000
Tc 0.328 0.172 0.500
Tc 0.172 0.672 0.500
Tc 0.828 0.328 0.500
Tc 0.672 0.828 0.500
CELL_PARAMETERS angstrom
-0.427 -7.131 -2.537
7.547 -0.206 -0.691
0.213 -0.940 2.607
```

***

# 10
Here is an optimized crystal structure of NaVAu3 from Alexandria. Energies are from GGA-PBE. Values from VASP.

Calculated values
Density of states at the Fermi level in states/eV/atom: 0.947
Polymorph energy (0 for the lowest one) in eV per formula unit: 0.00
Space-group type: No. 221

The structure in Quantum ESPRESSO input format:
```
&SYSTEM
  ibrav = 0, nat = 5, ntyp = 3
/
ATOMIC_SPECIES
Au 196.97 Au.upf
V 50.94 V.upf
Na 22.99 Na.upf
ATOMIC_POSITIONS crystal
Au 0.000 0.000 0.500
Au 0.500 0.000 0.000
Au 0.000 0.500 0.000
V 0.000 0.000 0.000
Na 0.500 0.500 0.500
CELL_PARAMETERS angstrom
5.047 0.000 0.000
0.000 5.047 0.000
0.000 0.000 5.047
```

***

# 11
Here is an optimized crystal structure of Tb2ZrAl9 from Alexandria. Energies are from GGA-PBE. Values from VASP.

Calculated values
Electronic total energy in Ha/atom: -0.1735
Density of states at the Fermi level in states/eV/atom: 0.488
Space-group type: No. 123

The structure in Quantum ESPRESSO input format:
```
&SYSTEM
  ibrav = 0, nat = 12, ntyp = 3
/
ATOMIC_SPECIES
Al 26.98 Al.upf
Zr 91.22 Zr.upf
Tb 158.93 Tb.upf
ATOMIC_POSITIONS crystal
Al 0.500 0.500 0.330
Al 0.000 0.500 0.500
Al 0.000 0.500 0.841
Al 0.500 0.500 0.670
Al 0.500 0.000 0.841
Al 0.500 0.000 0.500
Al 0.000 0.500 0.159
Al 0.500 0.500 0.000
Al 0.500 0.000 0.159
Zr 0.000 0.000 0.000
Tb 0.000 0.000 0.329
Tb 0.000 0.000 0.671
CELL_PARAMETERS angstrom
-0.541 1.908 -3.729
-1.085 -3.695 -1.733
-12.061 2.194 2.873
```